# TaHgSe2, relaxed, DFT PBE-GGA
data_TaHgSe2
_chemical_formula_sum 'Ta4 Hg4 Se8'
_cell_length_a 5.497
_cell_length_b 5.497
_cell_length_c 12.793
_cell_angle_alpha 90.00
_cell_angle_beta 90.00
_cell_angle_gamma 90.00
_space_group_name_H-M_alt 'I 41/a m d'
_space_group_IT_number 141
loop_
_space_group_symop_operation_xyz
'x,y,z'
'-x,-y,-z'
'-y+1/4,x+3/4,z+1/4'
'y+1/4,-x+3/4,-z+1/4'
'-x+1/2,-y,z+1/2'
'x+1/2,y,-z+1/2'
'y+1/4,-x+1/4,z+3/4'
'-y+1/4,x+1/4,-z+3/4'
'x,-y,-z'
'-x,y,z'
'-y+1/4,-x+1/4,-z+3/4'
'y+1/4,x+1/4,z+3/4'
'-x+1/2,y,-z+1/2'
'x+1/2,-y,z+1/2'
'y+1/4,x+3/4,-z+1/4'
'-y+1/4,-x+3/4,z+1/4'
'x+1/2,y+1/2,z+1/2'
'-x+1/2,-y+1/2,-z+1/2'
'-y+3/4,x+1/4,z+3/4'
'y+3/4,-x+1/4,-z+3/4'
'-x,-y+1/2,z'
'x,y+1/2,-z'
'y+3/4,-x+3/4,z+1/4'
'-y+3/4,x+3/4,-z+1/4'
'x+1/2,-y+1/2,-z+1/2'
'-x+1/2,y+1/2,z+1/2'
'-y+3/4,-x+3/4,-z+1/4'
'y+3/4,x+3/4,z+1/4'
'-x,y+1/2,-z'
'x,-y+1/2,z'
'y+3/4,x+1/4,-z+3/4'
'-y+3/4,-x+1/4,z+3/4'
loop_
_atom_site_label
_atom_site_type_symbol
_atom_site_fract_x
_atom_site_fract_y
_atom_site_fract_z
Ta1 Ta 0.000 0.250 0.375
Hg1 Hg 0.000 0.250 0.875
Se1 Se 0.000 0.250 0.170
# VASP energy   -4.735 eV per atom



# TaHgSe2, relaxed, DFT PBE-GGA
data_TaHgSe2
_chemical_formula_sum 'Ta3 Hg3 Se6'
_cell_length_a 3.3345
_cell_length_b 3.3345
_cell_length_c 28.8847
_cell_angle_alpha 90.00
_cell_angle_beta 90.00
_cell_angle_gamma 120.00
_space_group_name_H-M_alt 'R 3 m'
_space_group_IT_number 160
_space_group_name_Hall 'R 3 -2"'
loop_
_atom_site_label
_atom_site_type_symbol
_atom_site_fract_x
_atom_site_fract_y
_atom_site_fract_z
Ta1 Ta 0.0000 0.0000 0.0000
Hg1 Hg 0.0000 0.0000 0.4121
Se1 Se 0.0000 0.0000 0.2745
Se2 Se 0.0000 0.0000 0.8175
# VASP energy   -4.832 eV per atom



# TaHgSe2, relaxed, DFT PBE-GGA
data_TaHgSe2
_chemical_formula_sum 'Ta4 Hg4 Se8'
_cell_length_a 5.496
_cell_length_b 3.413
_cell_length_c 22.339
_cell_angle_alpha 90.00
_cell_angle_beta 90.00
_cell_angle_gamma 90.00
_space_group_name_H-M_alt 'P n m a'
_space_group_IT_number 62
loop_
_space_group_symop_operation_xyz
'x,y,z'
'-x,-y,-z'
'-x+1/2,-y,z+1/2'
'x+1/2,y,-z+1/2'
'x+1/2,-y+1/2,-z+1/2'
'-x+1/2,y+1/2,z+1/2'
'-x,y+1/2,-z'
'x,-y+1/2,z'
loop_
_atom_site_label
_atom_site_type_symbol
_atom_site_fract_x
_atom_site_fract_y
_atom_site_fract_z
Ta1 Ta 0.167 0.250 0.042
Hg1 Hg 0.225 0.750 0.293
Se1 Se 0.200 0.250 0.459
Se2 Se 0.204 0.750 0.126
# VASP energy   -5.246 eV per atom



# TaHg2Se, relaxed, DFT PBE-GGA
data_TaHg2Se
_chemical_formula_sum 'Ta1 Hg2 Se1'
_cell_length_a 3.918
_cell_length_b 3.918
_cell_length_c 5.528
_cell_angle_alpha 90.00
_cell_angle_beta 90.00
_cell_angle_gamma 90.00
_space_group_name_H-M_alt 'P 4/m m m'
_space_group_IT_number 123
_space_group_name_Hall '-P 4 2'
loop_
_atom_site_label
_atom_site_type_symbol
_atom_site_fract_x
_atom_site_fract_y
_atom_site_fract_z
Ta1 Ta 0.000 0.000 0.000
Hg1 Hg 0.000 0.500 0.500
Se1 Se 0.500 0.500 0.000
# VASP energy   -3.470 eV per atom



# TaHgSe2, relaxed, DFT PBE-GGA
data_TaHgSe2
_chemical_formula_sum 'Ta4 Hg4 Se8'
_cell_length_a 6.871
_cell_length_b 6.871
_cell_length_c 6.871
_cell_angle_alpha 90.00
_cell_angle_beta 90.00
_cell_angle_gamma 90.00
_space_group_name_H-M_alt 'F -4 3 m'
_space_group_IT_number 216
_space_group_name_Hall 'F -4 2 3'
loop_
_atom_site_label
_atom_site_type_symbol
_atom_site_fract_x
_atom_site_fract_y
_atom_site_fract_z
Ta1 Ta 0.000 0.000 0.000
Hg1 Hg 0.250 0.250 0.750
Se1 Se 0.000 0.000 0.500
Se2 Se 0.250 0.250 0.250
# VASP energy   -4.158 eV per atom



# TaHg2Se, relaxed, DFT PBE-GGA
data_TaHg2Se
_chemical_formula_sum 'Ta2 Hg4 Se2'
_cell_length_a 3.549
_cell_length_b 4.986
_cell_length_c 9.503
_cell_angle_alpha 90.00
_cell_angle_beta 90.00
_cell_angle_gamma 90.00
_space_group_name_H-M_alt 'C m m m'
_space_group_IT_number 65
_space_group_name_Hall '-C 2 2'
loop_
_atom_site_label
_atom_site_type_symbol
_atom_site_fract_x
_atom_site_fract_y
_atom_site_fract_z
Ta1 Ta 0.000 0.000 0.000
Hg1 Hg 0.000 0.500 0.241
Se1 Se 0.000 0.000 0.500
# VASP energy   -3.535 eV per atom